Entry 1:
TiAlCd2Ag: optimized geometry, PBE-GGA.

Calculated volume = 117 Å³/cell
Energy of formation = 752 meV/atom
E_tot = -0.0923 hartree per atom
Total magnetization = 0.0 μB per cell

Structure (extended XYZ):
```
5
Lattice="4.9598 0.0000 0.0000 0.0000 4.9598 0.0000 0.0000 0.0000 4.7388" Properties=species:S:1:pos:R:3 pbc="T T T"
Ti 0.0000 0.0000 0.0000
Al 2.4799 2.4799 2.3694
Cd 0.0000 2.4799 2.3694
Cd 2.4799 0.0000 2.3694
Ag 2.4799 2.4799 0.0000
```

---

Entry 2:
SmU3Tl2O12: optimized geometry, PBE-GGA.

Calculated volume = 376 Å³/cell
Raw formation energy = -2649 meV/atom
E_tot = -0.3073 hartree per atom
Total magnetization = 0.0 μB per cell

Structure (extended XYZ):
```
18
Lattice="4.0820 2.3567 6.5180 -4.0820 2.3567 6.5180 0.0000 -4.7135 6.5180" Properties=species:S:1:pos:R:3 pbc="T T T"
Sm 0.0000 0.0000 0.0000
U -4.0820 0.0000 9.7769
U -2.0410 1.1784 3.2590
U 2.0410 1.1784 3.2590
Tl 0.0000 0.0000 6.2128
Tl 0.0000 0.0000 13.3411
O -2.6298 -1.5183 9.3961
O 0.0000 -2.7883 5.1893
O -2.4148 1.3942 5.1893
O 0.0000 -3.0366 10.1578
O -2.6298 1.5183 10.1578
O -2.4148 -1.3942 14.3646
O 2.4148 1.3942 5.1893
O 2.6298 -1.5183 9.3961
O 0.0000 3.0366 9.3961
O 2.4148 -1.3942 14.3646
O 0.0000 2.7883 14.3646
O 2.6298 1.5183 10.1578
```

---

Entry 3:
Dy6TlTe3Ir2: optimized geometry, PBE-GGA.

Calculated volume = 334 Å³/cell
Raw formation energy = -960 meV/atom
E_tot = -0.2102 hartree per atom
Total magnetization = 0.0 μB per cell

Structure (extended XYZ):
```
12
Lattice="9.6003 -2.0685 0.0000 9.6003 2.0685 0.0000 -2.9403 0.0000 8.4154" Properties=species:S:1:pos:R:3 pbc="T T T"
Dy -0.5703 0.0000 2.1906
Dy 4.7743 0.0000 3.7784
Dy 3.6950 0.0000 7.4855
Dy 12.5653 0.0000 0.9299
Dy 11.4860 0.0000 4.6370
Dy 16.8306 0.0000 6.2248
Tl 9.6003 0.0000 0.0000
Te 0.6885 0.0000 6.9569
Te 8.1301 0.0000 4.2077
Te 15.5718 0.0000 1.4585
Ir 2.1884 0.0000 2.6927
Ir 14.0719 0.0000 5.7227
```

---

Entry 4:
SrMnTc2: optimized geometry, PBE-GGA.

Calculated volume = 82 Å³/cell
Energy of formation = 646 meV/atom
E_tot = -0.2664 hartree per atom
Total magnetization = 1.1 μB per cell

Structure (extended XYZ):
```
4
Lattice="4.5512 -1.5839 0.0000 4.5512 1.5839 0.0000 -1.4802 0.0000 5.6659" Properties=species:S:1:pos:R:3 pbc="T T T"
Sr 0.0000 0.0000 0.0000
Mn 3.8112 0.0000 2.8329
Tc 0.9924 0.0000 3.6030
Tc 6.6299 0.0000 2.0629
```

---

Q: Which D(E_F) values were calculated for the entries above? A: 1.359, 1.023, 0.404, 1.215, in states/eV/atom.